# Nd3IrBr2 (PBE-GGA, optimized geometry)
data_Nd3IrBr2
_chemical_formula_sum 'Nd3 Ir1 Br2'
_symmetry_space_group_name_H-M 'P 1'
_symmetry_Int_Tables_number 1
_cell_length_a 4.0933
_cell_length_b 6.0322
_cell_length_c 8.1119
_cell_angle_alpha 111.83
_cell_angle_beta 104.61
_cell_angle_gamma 90.00
loop_
_symmetry_equiv_pos_as_xyz
'x,y,z'
loop_
_atom_site_label
_atom_site_type_symbol
_atom_site_fract_x
_atom_site_fract_y
_atom_site_fract_z
Nd1 Nd 0.6278 0.6279 0.2557
Nd2 Nd 0.0000 0.0000 0.0000
Nd3 Nd 0.3722 0.3721 0.7443
Ir1 Ir 0.0000 0.5000 0.0000
Br1 Br 0.3184 0.8184 0.6367
Br2 Br 0.6816 0.1816 0.3633
# Density of states at the Fermi level in states/eV/cell: 4.8
# E_form (uncorrected) in kJ/mol of atoms: -106.2
# SG: No. 71


# UMnTlTe4 (PBE-GGA, optimized geometry)
data_UMnTlTe4
_chemical_formula_sum 'U2 Mn2 Tl2 Te8'
_symmetry_space_group_name_H-M 'P 1'
_symmetry_Int_Tables_number 1
_cell_length_a 6.7426
_cell_length_b 6.2827
_cell_length_c 10.1413
_cell_angle_alpha 90.00
_cell_angle_beta 107.92
_cell_angle_gamma 90.00
loop_
_symmetry_equiv_pos_as_xyz
'x,y,z'
loop_
_atom_site_label
_atom_site_type_symbol
_atom_site_fract_x
_atom_site_fract_y
_atom_site_fract_z
U1 U 0.6830 0.7500 0.4198
U2 U 0.3170 0.2500 0.5802
Mn1 Mn 0.3586 0.7500 0.3730
Mn2 Mn 0.6414 0.2500 0.6270
Tl1 Tl 0.7963 0.7500 0.9794
Tl2 Tl 0.2037 0.2500 0.0206
Te1 Te 0.9846 0.5024 0.6870
Te2 Te 0.0154 0.0024 0.3130
Te3 Te 0.0154 0.4976 0.3130
Te4 Te 0.9846 0.9976 0.6870
Te5 Te 0.3863 0.7500 0.1167
Te6 Te 0.6137 0.2500 0.8833
Te7 Te 0.4303 0.7500 0.6424
Te8 Te 0.5697 0.2500 0.3576
# Density of states at the Fermi level in states/eV/cell: 9.0
# E_form (uncorrected) in kJ/mol of atoms: -28.3
# SG: No. 11


# MnCuSn (PBE-GGA, optimized geometry)
data_MnCuSn
_chemical_formula_sum 'Mn2 Cu2 Sn2'
_symmetry_space_group_name_H-M 'P 1'
_symmetry_Int_Tables_number 1
_cell_length_a 3.0718
_cell_length_b 5.2213
_cell_length_c 6.5858
_cell_angle_alpha 98.45
_cell_angle_beta 90.00
_cell_angle_gamma 107.00
loop_
_symmetry_equiv_pos_as_xyz
'x,y,z'
loop_
_atom_site_label
_atom_site_type_symbol
_atom_site_fract_x
_atom_site_fract_y
_atom_site_fract_z
Mn1 Mn 0.8965 0.8371 0.3209
Mn2 Mn 0.3293 0.7029 0.6256
Cu1 Cu 0.0376 0.1203 0.7127
Cu2 Cu 0.4733 0.9943 0.0103
Sn1 Sn 0.7399 0.5241 0.9391
Sn2 Sn 0.6296 0.3032 0.3870
# ΔE_f in eV per atom: 0.1584
# Density of states at the Fermi level in states/eV/cell: 3.0
# SG: No. 1


# Fe2SbBr (PBE-GGA, optimized geometry)
data_Fe2SbBr
_chemical_formula_sum 'Fe2 Sb1 Br1'
_symmetry_space_group_name_H-M 'P 1'
_symmetry_Int_Tables_number 1
_cell_length_a 6.1048
_cell_length_b 6.1048
_cell_length_c 6.1048
_cell_angle_alpha 144.37
_cell_angle_beta 144.37
_cell_angle_gamma 51.27
loop_
_symmetry_equiv_pos_as_xyz
'x,y,z'
loop_
_atom_site_label
_atom_site_type_symbol
_atom_site_fract_x
_atom_site_fract_y
_atom_site_fract_z
Br1 Br 0.7500 0.2500 0.5000
Fe1 Fe 0.0000 0.0000 0.0000
Fe2 Fe 0.2500 0.7500 0.5000
Sb1 Sb 0.5000 0.5000 0.0000
# Density of states at the Fermi level in states/eV/cell: 5.0
# E_form (uncorrected) in kJ/mol of atoms: 69.2
# SG: No. 119
# ΔE to the lowest computed polymorph in eV/atom: 0.651


# SrZr2As (PBE-GGA, optimized geometry)
data_SrZr2As
_chemical_formula_sum 'Sr2 Zr4 As2'
_symmetry_space_group_name_H-M 'P 1'
_symmetry_Int_Tables_number 1
_cell_length_a 5.0581
_cell_length_b 5.0581
_cell_length_c 10.5842
_cell_angle_alpha 76.18
_cell_angle_beta 76.18
_cell_angle_gamma 90.00
loop_
_symmetry_equiv_pos_as_xyz
'x,y,z'
loop_
_atom_site_label
_atom_site_type_symbol
_atom_site_fract_x
_atom_site_fract_y
_atom_site_fract_z
Sr1 Sr 0.0000 0.0000 0.0000
Sr2 Sr 0.7500 0.2500 0.5000
As1 As 0.5000 0.5000 0.0000
As2 As 0.2500 0.7500 0.5000
Zr1 Zr 0.3752 0.1250 0.2500
Zr2 Zr 0.3748 0.6250 0.2500
Zr3 Zr 0.3750 0.6248 0.7500
Zr4 Zr 0.8750 0.6252 0.7500
# ΔE_f in eV per atom: 0.0943
# Density of states at the Fermi level in states/eV/cell: 6.1
# SG: No. 141


# Ac3Pm2TmTe6 (PBE-GGA, optimized geometry)
data_Ac3Pm2TmTe6
_chemical_formula_sum 'Ac3 Pm2 Tm1 Te6'
_symmetry_space_group_name_H-M 'P 1'
_symmetry_Int_Tables_number 1
_cell_length_a 4.4940
_cell_length_b 9.3043
_cell_length_c 10.3158
_cell_angle_alpha 105.24
_cell_angle_beta 102.58
_cell_angle_gamma 90.00
loop_
_symmetry_equiv_pos_as_xyz
'x,y,z'
loop_
_atom_site_label
_atom_site_type_symbol
_atom_site_fract_x
_atom_site_fract_y
_atom_site_fract_z
Ac1 Ac 0.5000 0.5000 0.0000
Ac2 Ac 0.8291 0.1637 0.6582
Ac3 Ac 0.1709 0.8363 0.3418
Pm1 Pm 0.8306 0.6628 0.6613
Pm2 Pm 0.1694 0.3372 0.3387
Tm1 Tm 0.5000 0.0000 0.0000
Te1 Te 0.3431 0.9089 0.6861
Te2 Te 0.6692 0.5740 0.3384
Te3 Te 0.6569 0.0911 0.3139
Te4 Te 0.0027 0.2299 0.0055
Te5 Te 0.9973 0.7701 0.9945
Te6 Te 0.3308 0.4260 0.6616
# Density of states at the Fermi level in states/eV/cell: 6.3
# E_form (uncorrected) in kJ/mol of atoms: -135.7
# SG: No. 12


# HgTeIN2 (PBE-GGA, optimized geometry)
data_HgTeIN2
_chemical_formula_sum 'Hg1 Te1 I1 N2'
_symmetry_space_group_name_H-M 'P 1'
_symmetry_Int_Tables_number 1
_cell_length_a 4.4844
_cell_length_b 4.4844
_cell_length_c 6.5857
_cell_angle_alpha 90.00
_cell_angle_beta 90.00
_cell_angle_gamma 90.00
loop_
_symmetry_equiv_pos_as_xyz
'x,y,z'
loop_
_atom_site_label
_atom_site_type_symbol
_atom_site_fract_x
_atom_site_fract_y
_atom_site_fract_z
I1 I 0.5000 0.5000 0.5000
Te1 Te 0.0000 0.0000 0.5000
Hg1 Hg 0.0000 0.0000 0.0000
N1 N 0.0000 0.5000 0.0000
N2 N 0.5000 0.0000 0.0000
# Density of states at the Fermi level in states/eV/cell: 1.8
# E_form (uncorrected) in kJ/mol of atoms: 170.0
# SG: No. 123
# ΔE to the lowest computed polymorph in eV/atom: 0.474


# La4SbAs2P (PBE-GGA, optimized geometry)
data_La4SbAs2P
_chemical_formula_sum 'La4 Sb1 As2 P1'
_symmetry_space_group_name_H-M 'P 1'
_symmetry_Int_Tables_number 1
_cell_length_a 4.4134
_cell_length_b 7.6467
_cell_length_c 7.6657
_cell_angle_alpha 70.59
_cell_angle_beta 90.00
_cell_angle_gamma 90.00
loop_
_symmetry_equiv_pos_as_xyz
'x,y,z'
loop_
_atom_site_label
_atom_site_type_symbol
_atom_site_fract_x
_atom_site_fract_y
_atom_site_fract_z
La1 La 0.0000 0.7574 0.7379
La2 La 0.0000 0.2426 0.2621
La3 La 0.5000 0.7506 0.2588
La4 La 0.5000 0.2494 0.7412
Sb1 Sb 0.5000 0.5000 0.0000
As1 As 0.0000 0.0000 0.0000
As2 As 0.5000 0.0000 0.5000
P1 P 0.0000 0.5000 0.5000
# Density of states at the Fermi level in states/eV/cell: 0.8
# E_form (uncorrected) in kJ/mol of atoms: -141.7
# SG: No. 10


Which formula does entry 8 have? La4SbAs2P


Which of these has the lowest density of states at the Fermi level? La4SbAs2P


Look up the density of states at the Fermi level of the fifth one. 6.1 states/eV/cell